# 1
# ZrCrBr2

A geometry-optimized ZrCrBr2 structure (GGA-PBE, Alexandria via LeMat-Bulk).

CIF file:
```
data_ZrCrBr2
_cell_length_a 6.5866
_cell_length_b 8.9818
_cell_length_c 3.4038
_cell_angle_alpha 90.00
_cell_angle_beta 117.08
_cell_angle_gamma 90.00
_space_group_name_H-M_alt 'C 1 2/m 1'
_space_group_IT_number 12
_space_group_name_Hall '-C 2y'
loop_
_atom_site_label
_atom_site_fract_x
_atom_site_fract_y
_atom_site_fract_z
_atom_site_occupancy
Zr1 0.0000 0.0000 0.0000 1
Cr1 0.0000 0.5000 0.0000 1
Br1 0.2500 0.2500 0.0000 1
```

Results
total energy	-5.35	eV per atom
ΔE_f (raw)	0.030	eV/atom
energy above the lowest structure with this stoichiometry	0.424	eV per atom

=====

# 2
# CaCo2Ir

A geometry-optimized CaCo2Ir structure (GGA-PBE, Alexandria via LeMat-Bulk).

CIF file:
```
data_CaCo2Ir
_cell_length_a 9.6951
_cell_length_b 2.8827
_cell_length_c 4.7325
_cell_angle_alpha 90.00
_cell_angle_beta 110.87
_cell_angle_gamma 90.00
_space_group_name_H-M_alt 'C 1 m 1'
_space_group_IT_number 8
_space_group_name_Hall 'C -2y'
loop_
_atom_site_label
_atom_site_fract_x
_atom_site_fract_y
_atom_site_fract_z
_atom_site_occupancy
Ca1 0.0000 0.0000 0.0000 1
Co1 0.2813 0.5000 0.2618 1
Co2 0.4860 0.0000 0.5035 1
Ir1 0.2176 0.0000 0.6453 1
```

Results
E_form	0.25	eV/atom
total energy	-6.02	eV per atom

=====

# 3
# In4HgTeI2

A geometry-optimized In4HgTeI2 structure (GGA-PBE, Alexandria via LeMat-Bulk).

CIF file:
```
data_In4HgTeI2
_cell_length_a 9.1275
_cell_length_b 9.6393
_cell_length_c 13.2788
_cell_angle_alpha 90.00
_cell_angle_beta 90.00
_cell_angle_gamma 90.00
_space_group_name_H-M_alt 'I m m a'
_space_group_IT_number 74
_space_group_name_Hall '-I 2b 2'
loop_
_atom_site_label
_atom_site_fract_x
_atom_site_fract_y
_atom_site_fract_z
_atom_site_occupancy
In1 0.0000 0.0171 0.2332 1
In2 0.2335 0.2500 0.0112 1
Hg1 0.0000 0.0000 0.0000 1
Te1 0.2500 0.2500 0.2500 1
I1 0.0000 0.0000 0.5000 1
I2 0.2500 0.2500 0.7500 1
```

Results
total energy	-2.44	eV per atom
ΔE_f (raw)	-0.249	eV/atom

=====

# 4
# LiTbMgAu

A geometry-optimized LiTbMgAu structure (GGA-PBE, Alexandria via LeMat-Bulk).

CIF file:
```
data_LiTbMgAu
_cell_length_a 6.9234
_cell_length_b 6.9234
_cell_length_c 6.9234
_cell_angle_alpha 90.00
_cell_angle_beta 90.00
_cell_angle_gamma 90.00
_space_group_name_H-M_alt 'F -4 3 m'
_space_group_IT_number 216
_space_group_name_Hall 'F -4 2 3'
loop_
_atom_site_label
_atom_site_fract_x
_atom_site_fract_y
_atom_site_fract_z
_atom_site_occupancy
Li1 0.0000 0.0000 0.0000 1
Tb1 0.2500 0.2500 0.2500 1
Mg1 0.2500 0.2500 0.7500 1
Au1 0.0000 0.0000 0.5000 1
```

Results
E_form	-0.46	eV/atom
total energy	-3.32	eV per atom

=====

# 5
# CaLa2FeCl

A geometry-optimized CaLa2FeCl structure (GGA-PBE, Alexandria via LeMat-Bulk).

CIF file:
```
data_CaLa2FeCl
_cell_length_a 6.0318
_cell_length_b 6.0318
_cell_length_c 4.4665
_cell_angle_alpha 90.00
_cell_angle_beta 90.00
_cell_angle_gamma 90.00
_space_group_name_H-M_alt 'P 4/m m m'
_space_group_IT_number 123
_space_group_name_Hall '-P 4 2'
loop_
_atom_site_label
_atom_site_fract_x
_atom_site_fract_y
_atom_site_fract_z
_atom_site_occupancy
Ca1 0.0000 0.0000 0.0000 1
La1 0.0000 0.5000 0.0000 1
Fe1 0.0000 0.0000 0.5000 1
Cl1 0.5000 0.5000 0.5000 1
```

Results
total energy	-3.73	eV per atom
ΔE_f (raw)	0.706	eV/atom

=====

# 6
# PrNd4Co2

A geometry-optimized PrNd4Co2 structure (GGA-PBE, Alexandria via LeMat-Bulk).

CIF file:
```
data_PrNd4Co2
_cell_length_a 4.7886
_cell_length_b 17.1064
_cell_length_c 4.7523
_cell_angle_alpha 90.00
_cell_angle_beta 90.00
_cell_angle_gamma 90.00
_space_group_name_H-M_alt 'C m m m'
_space_group_IT_number 65
_space_group_name_Hall '-C 2 2'
loop_
_atom_site_label
_atom_site_fract_x
_atom_site_fract_y
_atom_site_fract_z
_atom_site_occupancy
Pr1 0.0000 0.0000 0.0000 1
Nd1 0.0000 0.1652 0.5000 1
Nd2 0.0000 0.3396 0.0000 1
Co1 0.0000 0.4353 0.5000 1
```

Results
E_form	0.15	eV/atom
total energy	-5.29	eV per atom
energy above the lowest structure with this stoichiometry	0.149	eV per atom

=====

Please write out number 1 again, unchanged.
# ZrCrBr2

A geometry-optimized ZrCrBr2 structure (GGA-PBE, Alexandria via LeMat-Bulk).

CIF file:
```
data_ZrCrBr2
_cell_length_a 6.5866
_cell_length_b 8.9818
_cell_length_c 3.4038
_cell_angle_alpha 90.00
_cell_angle_beta 117.08
_cell_angle_gamma 90.00
_space_group_name_H-M_alt 'C 1 2/m 1'
_space_group_IT_number 12
_space_group_name_Hall '-C 2y'
loop_
_atom_site_label
_atom_site_fract_x
_atom_site_fract_y
_atom_site_fract_z
_atom_site_occupancy
Zr1 0.0000 0.0000 0.0000 1
Cr1 0.0000 0.5000 0.0000 1
Br1 0.2500 0.2500 0.0000 1
```

Results
total energy	-5.35	eV per atom
ΔE_f (raw)	0.030	eV/atom
energy above the lowest structure with this stoichiometry	0.424	eV per atom

=====

Question: What is the total energy in the first record?
Answer: -5.35 eV per atom

=====

Please write out number 1 again, unchanged.
# ZrCrBr2

A geometry-optimized ZrCrBr2 structure (GGA-PBE, Alexandria via LeMat-Bulk).

CIF file:
```
data_ZrCrBr2
_cell_length_a 6.5866
_cell_length_b 8.9818
_cell_length_c 3.4038
_cell_angle_alpha 90.00
_cell_angle_beta 117.08
_cell_angle_gamma 90.00
_space_group_name_H-M_alt 'C 1 2/m 1'
_space_group_IT_number 12
_space_group_name_Hall '-C 2y'
loop_
_atom_site_label
_atom_site_fract_x
_atom_site_fract_y
_atom_site_fract_z
_atom_site_occupancy
Zr1 0.0000 0.0000 0.0000 1
Cr1 0.0000 0.5000 0.0000 1
Br1 0.2500 0.2500 0.0000 1
```

Results
total energy	-5.35	eV per atom
ΔE_f (raw)	0.030	eV/atom
energy above the lowest structure with this stoichiometry	0.424	eV per atom

=====

Question: The highest total energy belongs to which entry?
Answer: In4HgTeI2